Entry 1:
Density functional theory data (GGA-PBE) for a relaxed structure of Ti3SiF.

Summary:
As for the symmetry: No. 221. The calculation puts the energy relative to the lowest polymorph listed for this composition at 0.000 eV/atom. As for the raw formation energy: -333 kJ/mol of formula units. The energy is -34.4 eV/f.u.

Cell lengths 4.129, 4.129, 4.129 Å; angles 90.00, 90.00, 90.00 degrees
Fractional positions:
Ti 0.000 0.000 0.500
Ti 0.000 0.500 0.000
Ti 0.500 0.000 0.000
Si 0.500 0.500 0.500
F 0.000 0.000 0.000

---

Entry 2:
Density functional theory data (GGA-PBE) for a relaxed structure of Nd2TmTe.

Summary:
As for the symmetry: No. 160. The calculation puts the energy relative to the lowest polymorph listed for this composition at 0.041 eV/atom. As for the raw formation energy: -205 kJ/mol of formula units. The energy is -19.3 eV/f.u.

Cell lengths 3.992, 3.992, 29.560 Å; angles 90.00, 90.00, 120.00 degrees
Fractional positions:
Nd 0.000 0.000 0.000
Nd 0.000 0.000 0.187
Nd 0.333 0.667 0.667
Nd 0.333 0.667 0.853
Nd 0.667 0.333 0.333
Nd 0.667 0.333 0.520
Tm 0.000 0.000 0.760
Tm 0.333 0.667 0.427
Tm 0.667 0.333 0.094
Te 0.000 0.000 0.593
Te 0.333 0.667 0.260
Te 0.667 0.333 0.926

---

Entry 3:
Density functional theory data (GGA-PBE) for a relaxed structure of KH2Cl.

Summary:
As for the symmetry: No. 11. The calculation puts the energy relative to the lowest polymorph listed for this composition at 0.000 eV/atom. The energy is -13.5 eV/f.u.

Cell lengths 4.356, 4.441, 9.025 Å; angles 90.00, 93.23, 90.00 degrees
Fractional positions:
K 0.229 0.250 0.326
K 0.771 0.750 0.674
H 0.242 0.665 0.959
H 0.242 0.835 0.959
H 0.758 0.165 0.041
H 0.758 0.335 0.041
Cl 0.271 0.250 0.675
Cl 0.729 0.750 0.325

---

Entry 4:
Density functional theory data (GGA-PBE) for a relaxed structure of DyPd8Pt2.

Summary:
As for the symmetry: No. 12. The calculation puts the energy relative to the lowest polymorph listed for this composition at 0.128 eV/atom. The energy is -60.4 eV/f.u. The formation energy comes out at -0.20 eV per atom.

Cell lengths 7.929, 7.929, 4.885 Å; angles 107.85, 107.85, 125.07 degrees
Fractional positions:
Dy 0.000 0.000 0.000
Pd 0.097 0.385 0.744
Pd 0.192 0.808 0.000
Pd 0.385 0.097 0.744
Pd 0.487 0.487 0.737
Pd 0.513 0.513 0.263
Pd 0.615 0.903 0.256
Pd 0.808 0.192 0.000
Pd 0.903 0.615 0.256
Pt 0.325 0.675 0.500
Pt 0.675 0.325 0.500

---

Entry 5:
Density functional theory data (GGA-PBE) for a relaxed structure of Pr2AuO4.

Summary:
As for the symmetry: No. 64. As for the raw formation energy: -1614 kJ/mol of formula units. The energy is -49.4 eV/f.u.

Cell lengths 6.979, 6.979, 5.917 Å; angles 90.00, 90.00, 50.22 degrees
Fractional positions:
Pr 0.158 0.158 0.000
Pr 0.342 0.342 0.500
Pr 0.658 0.658 0.500
Pr 0.842 0.842 0.000
Au 0.000 0.000 0.500
Au 0.500 0.500 0.000
O 0.011 0.489 0.750
O 0.184 0.816 0.815
O 0.316 0.684 0.315
O 0.489 0.011 0.250
O 0.511 0.989 0.750
O 0.684 0.316 0.685
O 0.816 0.184 0.185
O 0.989 0.511 0.250

---

Entry 6:
Density functional theory data (GGA-PBE) for a relaxed structure of ErLuZnRu.

Summary:
As for the symmetry: No. 216. The energy is -21.3 eV/f.u. The formation energy comes out at -0.41 eV per atom.

Cell lengths 6.845, 6.845, 6.845 Å; angles 90.00, 90.00, 90.00 degrees
Fractional positions:
Er 0.000 0.000 0.000
Er 0.000 0.500 0.500
Er 0.500 0.000 0.500
Er 0.500 0.500 0.000
Lu 0.000 0.000 0.500
Lu 0.000 0.500 0.000
Lu 0.500 0.000 0.000
Lu 0.500 0.500 0.500
Zn 0.250 0.250 0.750
Zn 0.250 0.750 0.250
Zn 0.750 0.250 0.250
Zn 0.750 0.750 0.750
Ru 0.250 0.250 0.250
Ru 0.250 0.750 0.750
Ru 0.750 0.250 0.750
Ru 0.750 0.750 0.250

---

Entry 7:
Density functional theory data (GGA-PBE) for a relaxed structure of BTeS2N.

Summary:
As for the symmetry: No. 123. The calculation puts the energy relative to the lowest polymorph listed for this composition at 0.000 eV/atom. As for the raw formation energy: 239 kJ/mol of formula units. The energy is -23.9 eV/f.u.

Cell lengths 5.586, 5.586, 2.706 Å; angles 90.00, 90.00, 90.00 degrees
Fractional positions:
B 0.000 0.000 0.000
Te 0.500 0.500 0.500
S 0.000 0.500 0.000
S 0.500 0.000 0.000
N 0.000 0.000 0.500

---

Entry 8:
Density functional theory data (GGA-PBE) for a relaxed structure of ScAlW.

Summary:
As for the symmetry: No. 166. The calculation puts the energy relative to the lowest polymorph listed for this composition at 0.020 eV/atom. The energy is -23.7 eV/f.u. The formation energy comes out at -0.21 eV per atom.

Cell lengths 13.466, 13.466, 13.466 Å; angles 23.21, 23.21, 23.21 degrees
Fractional positions:
Sc 0.042 0.042 0.042
Sc 0.178 0.178 0.178
Sc 0.266 0.266 0.266
Sc 0.734 0.734 0.734
Sc 0.822 0.822 0.822
Sc 0.958 0.958 0.958
Al 0.220 0.723 0.723
Al 0.277 0.277 0.780
Al 0.277 0.780 0.277
Al 0.723 0.220 0.723
Al 0.723 0.723 0.220
Al 0.780 0.277 0.277
W 0.000 0.500 0.500
W 0.388 0.388 0.388
W 0.500 0.000 0.500
W 0.500 0.500 0.000
W 0.500 0.500 0.500
W 0.612 0.612 0.612

---

Entry 9:
Density functional theory data (GGA-PBE) for a relaxed structure of Cs3Br6Cl.

Summary:
As for the symmetry: No. 139. As for the raw formation energy: -822 kJ/mol of formula units. The energy is -23.0 eV/f.u.

Cell lengths 9.310, 9.310, 9.310 Å; angles 127.97, 127.97, 76.67 degrees
Fractional positions:
Cs 0.000 0.000 0.000
Cs 0.250 0.750 0.500
Cs 0.750 0.250 0.500
Br 0.236 0.236 0.000
Br 0.288 0.288 0.576
Br 0.288 0.712 0.000
Br 0.712 0.288 0.000
Br 0.712 0.712 0.424
Br 0.764 0.764 0.000
Cl 0.500 0.500 0.000

---

Entry 10:
Density functional theory data (GGA-PBE) for a relaxed structure of Tb2Be4Pt3Au.

Summary:
As for the symmetry: No. 115. The energy is -53.4 eV/f.u. The formation energy comes out at -0.78 eV per atom.

Cell lengths 4.090, 4.090, 9.414 Å; angles 90.00, 90.00, 90.00 degrees
Fractional positions:
Tb 0.000 0.500 0.245
Tb 0.500 0.000 0.755
Be 0.000 0.000 0.000
Be 0.000 0.500 0.630
Be 0.500 0.000 0.370
Be 0.500 0.500 0.000
Pt 0.000 0.500 0.878
Pt 0.500 0.000 0.122
Pt 0.500 0.500 0.500
Au 0.000 0.000 0.500

---

Entry 11:
Density functional theory data (GGA-PBE) for a relaxed structure of Ho2Be3ZnAu4.

Summary:
As for the symmetry: No. 115. The energy is -39.3 eV/f.u. The formation energy comes out at -0.46 eV per atom.

Cell lengths 4.297, 4.297, 9.369 Å; angles 90.00, 90.00, 90.00 degrees
Fractional positions:
Ho 0.000 0.500 0.250
Ho 0.500 0.000 0.750
Be 0.000 0.000 0.000
Be 0.000 0.500 0.612
Be 0.500 0.000 0.388
Zn 0.500 0.500 0.000
Au 0.000 0.000 0.500
Au 0.000 0.500 0.855
Au 0.500 0.000 0.145
Au 0.500 0.500 0.500

---

Entry 12:
Density functional theory data (GGA-PBE) for a relaxed structure of LiInAg.

Summary:
As for the symmetry: No. 11. The energy is -8.2 eV/f.u. The formation energy comes out at -0.23 eV per atom.

Cell lengths 4.725, 4.678, 5.653 Å; angles 90.00, 114.18, 90.00 degrees
Fractional positions:
Li 0.096 0.250 0.188
Li 0.904 0.750 0.812
In 0.413 0.250 0.820
In 0.587 0.750 0.180
Ag 0.237 0.750 0.485
Ag 0.763 0.250 0.515

---

Entry 13:
Density functional theory data (GGA-PBE) for a relaxed structure of LaCoIr2.

Summary:
As for the symmetry: No. 160. The energy is -27.7 eV/f.u. The formation energy comes out at 0.50 eV per atom.

Cell lengths 2.866, 2.866, 28.536 Å; angles 90.00, 90.00, 120.00 degrees
Fractional positions:
La 0.000 0.000 0.000
La 0.333 0.667 0.667
La 0.667 0.333 0.333
Co 0.000 0.000 0.240
Co 0.333 0.667 0.906
Co 0.667 0.333 0.573
Ir 0.000 0.000 0.505
Ir 0.000 0.000 0.762
Ir 0.333 0.667 0.172
Ir 0.333 0.667 0.429
Ir 0.667 0.333 0.095
Ir 0.667 0.333 0.838

---

Entry 14:
Density functional theory data (GGA-PBE) for a relaxed structure of Li2TaCo.

Summary:
As for the symmetry: No. 6. The calculation puts the energy relative to the lowest polymorph listed for this composition at 0.000 eV/atom. The energy is -22.1 eV/f.u. The formation energy comes out at 0.16 eV per atom.

Cell lengths 3.047, 3.147, 6.647 Å; angles 90.00, 90.09, 90.00 degrees
Fractional positions:
Li 0.000 0.000 0.000
Li 0.499 0.500 0.260
Ta 0.999 0.000 0.576
Co 0.499 0.500 0.742

---

Entry 15:
Density functional theory data (GGA-PBE) for a relaxed structure of Ca2Ga5Pt.

Summary:
As for the symmetry: No. 63. The calculation puts the energy relative to the lowest polymorph listed for this composition at 0.000 eV/atom. The energy is -29.7 eV/f.u. The formation energy comes out at -0.57 eV per atom.

Cell lengths 8.635, 8.635, 9.234 Å; angles 90.00, 90.00, 151.37 degrees
Fractional positions:
Ca 0.000 0.000 0.000
Ca 0.000 0.000 0.500
Ca 0.193 0.807 0.750
Ca 0.807 0.193 0.250
Ga 0.190 0.810 0.108
Ga 0.190 0.810 0.392
Ga 0.355 0.645 0.027
Ga 0.355 0.645 0.473
Ga 0.409 0.591 0.750
Ga 0.591 0.409 0.250
Ga 0.645 0.355 0.527
Ga 0.645 0.355 0.973
Ga 0.810 0.190 0.608
Ga 0.810 0.190 0.892
Pt 0.443 0.557 0.250
Pt 0.557 0.443 0.750

---

Entry 16:
Density functional theory data (GGA-PBE) for a relaxed structure of NbReTcBi2.

Summary:
As for the symmetry: No. 123. The energy is -32.3 eV/f.u. The formation energy comes out at 1.67 eV per atom.

Cell lengths 5.246, 5.246, 4.954 Å; angles 90.00, 90.00, 90.00 degrees
Fractional positions:
Nb 0.000 0.000 0.000
Re 0.000 0.000 0.500
Tc 0.500 0.500 0.000
Bi 0.000 0.500 0.500
Bi 0.500 0.000 0.500

---

Entry 17:
Density functional theory data (GGA-PBE) for a relaxed structure of VBiSe2.

Summary:
As for the symmetry: No. 1. As for the raw formation energy: -184 kJ/mol of formula units. The energy is -21.9 eV/f.u.

Cell lengths 3.678, 6.165, 9.007 Å; angles 94.76, 101.59, 90.00 degrees
Fractional positions:
V 0.000 0.000 0.000
V 0.496 0.557 0.993
Bi 0.165 0.778 0.496
Bi 0.786 0.279 0.497
Se 0.081 0.703 0.169
Se 0.412 0.854 0.824
Se 0.576 0.214 0.151
Se 0.924 0.344 0.842

---

Entry 18:
Density functional theory data (GGA-PBE) for a relaxed structure of Sm4Y3Tm4.

Summary:
As for the symmetry: No. 38. The calculation puts the energy relative to the lowest polymorph listed for this composition at 0.126 eV/atom. The energy is -54.5 eV/f.u. The formation energy comes out at 0.15 eV per atom.

Cell lengths 10.525, 6.651, 6.651 Å; angles 50.32, 90.00, 90.00 degrees
Fractional positions:
Sm 0.000 0.000 0.000
Sm 0.208 0.794 0.794
Sm 0.500 0.925 0.925
Sm 0.792 0.794 0.794
Y 0.000 0.294 0.294
Y 0.291 0.450 0.450
Y 0.709 0.450 0.450
Tm 0.000 0.592 0.592
Tm 0.301 0.143 0.143
Tm 0.500 0.654 0.654
Tm 0.699 0.143 0.143

---

Entry 19:
Density functional theory data (GGA-PBE) for a relaxed structure of TmTlCdCu.

Summary:
As for the symmetry: No. 216. The energy is -12.2 eV/f.u. The formation energy comes out at -0.09 eV per atom.

Cell lengths 7.004, 7.004, 7.004 Å; angles 90.00, 90.00, 90.00 degrees
Fractional positions:
Tm 0.000 0.000 0.000
Tm 0.000 0.500 0.500
Tm 0.500 0.000 0.500
Tm 0.500 0.500 0.000
Tl 0.250 0.250 0.250
Tl 0.250 0.750 0.750
Tl 0.750 0.250 0.750
Tl 0.750 0.750 0.250
Cd 0.000 0.000 0.500
Cd 0.000 0.500 0.000
Cd 0.500 0.000 0.000
Cd 0.500 0.500 0.500
Cu 0.250 0.250 0.750
Cu 0.250 0.750 0.250
Cu 0.750 0.250 0.250
Cu 0.750 0.750 0.750

---

Entry 20:
Density functional theory data (GGA-PBE) for a relaxed structure of Li2CoH6.

Summary:
As for the symmetry: No. 225. The calculation puts the energy relative to the lowest polymorph listed for this composition at 0.000 eV/atom. The energy is -31.6 eV/f.u.

Cell lengths 4.458, 4.458, 4.458 Å; angles 60.00, 60.00, 60.00 degrees
Fractional positions:
Li 0.250 0.250 0.250
Li 0.750 0.750 0.750
Co 0.000 0.000 0.000
H 0.244 0.244 0.756
H 0.244 0.756 0.244
H 0.244 0.756 0.756
H 0.756 0.244 0.244
H 0.756 0.244 0.756
H 0.756 0.756 0.244

---

Entry 21:
Density functional theory data (GGA-PBE) for a relaxed structure of BaY2Cd.

Summary:
As for the symmetry: No. 119. The energy is -15.3 eV/f.u. The formation energy comes out at 0.11 eV per atom.

Cell lengths 5.108, 5.108, 10.180 Å; angles 90.00, 90.00, 90.00 degrees
Fractional positions:
Ba 0.000 0.000 0.000
Ba 0.500 0.500 0.500
Y 0.000 0.000 0.500
Y 0.000 0.500 0.250
Y 0.500 0.000 0.750
Y 0.500 0.500 0.000
Cd 0.000 0.500 0.750
Cd 0.500 0.000 0.250

---

Entry 22:
Density functional theory data (GGA-PBE) for a relaxed structure of Hg2Au3.

Summary:
As for the symmetry: No. 43. The calculation puts the energy relative to the lowest polymorph listed for this composition at 0.000 eV/atom. The energy is -10.2 eV/f.u. The formation energy comes out at 0.06 eV per atom.

Cell lengths 7.637, 5.659, 8.210 Å; angles 63.75, 41.65, 74.61 degrees
Fractional positions:
Hg 0.135 0.865 0.264
Hg 0.514 0.986 0.385
Hg 0.865 0.135 0.736
Hg 0.986 0.514 0.115
Au 0.120 0.120 0.880
Au 0.370 0.370 0.130
Au 0.458 0.541 0.343
Au 0.541 0.458 0.659
Au 0.591 0.907 0.709
Au 0.907 0.591 0.792

---

Entry 23:
Density functional theory data (GGA-PBE) for a relaxed structure of Tb5Nd5Sc2.

Summary:
As for the symmetry: No. 2. The calculation puts the energy relative to the lowest polymorph listed for this composition at 0.000 eV/atom. The energy is -59.2 eV/f.u. The formation energy comes out at 0.04 eV per atom.

Cell lengths 6.145, 7.980, 8.735 Å; angles 68.46, 89.48, 74.98 degrees
Fractional positions:
Tb 0.000 0.000 0.000
Tb 0.085 0.246 0.583
Tb 0.167 0.493 0.170
Tb 0.833 0.507 0.830
Tb 0.915 0.754 0.417
Nd 0.248 0.759 0.744
Nd 0.417 0.246 0.917
Nd 0.500 0.500 0.500
Nd 0.583 0.754 0.083
Nd 0.752 0.241 0.256
Sc 0.338 0.999 0.337
Sc 0.662 0.001 0.663

---

Entry 24:
Density functional theory data (GGA-PBE) for a relaxed structure of Pr3Dy2Al3.

Summary:
As for the symmetry: No. 189. The energy is -36.6 eV/f.u. The formation energy comes out at -0.23 eV per atom.

Cell lengths 8.640, 8.640, 3.345 Å; angles 90.00, 90.00, 120.00 degrees
Fractional positions:
Pr 0.000 0.246 0.000
Pr 0.246 0.000 0.000
Pr 0.754 0.754 0.000
Dy 0.333 0.667 0.000
Dy 0.667 0.333 0.000
Al 0.000 0.611 0.500
Al 0.389 0.389 0.500
Al 0.611 0.000 0.500